No. 1
A plane-wave DFT calculation with PBE was carried out for a relaxed V4Cr3Ga2 crystal.

Computed properties:
Mass density (g/cm³): 6.9
Calculated formation energy (eV/atom): 0.051
Calculated volume (Å³/cell): 239
DFT total energy (eV per formula unit): -70.942

a = 6.738 Å, b = 7.362 Å, c = 4.890 Å
α = 90.00°, β = 99.57°, γ = 90.00°
Space group P2_1/c (No. 14)
Inequivalent atoms, fractional coordinates:
V 0.062 0.164 0.453
V 0.397 0.174 0.319
Cr 0.000 0.000 0.000
Cr 0.320 0.019 0.820
Ga 0.274 0.660 0.820

No. 2
A plane-wave DFT calculation with PBE was carried out for a relaxed PrEuCdAg crystal.

Computed properties:
Mass density (g/cm³): 7.5
Calculated formation energy (eV/atom): -0.282
Calculated volume (Å³/cell): 456
DFT total energy (eV per formula unit): -19.949

a = 7.700 Å, b = 7.700 Å, c = 7.700 Å
α = 90.00°, β = 90.00°, γ = 90.00°
Space group F-43m (No. 216)
Inequivalent atoms, fractional coordinates:
Pr 0.000 0.000 0.000
Eu 0.000 0.000 0.500
Cd 0.250 0.250 0.750
Ag 0.250 0.250 0.250

No. 3
A plane-wave DFT calculation with PBE was carried out for a relaxed Pr2ZrUAs4 crystal.

Computed properties:
Mass density (g/cm³): 7.6
Calculated formation energy (eV/atom): -1.200
Calculated volume (Å³/cell): 200
DFT total energy (eV per formula unit): -57.591

a = 7.128 Å, b = 4.112 Å, c = 7.204 Å
α = 90.00°, β = 108.97°, γ = 90.00°
Space group P2/m (No. 10)
Inequivalent atoms, fractional coordinates:
Pr 0.000 0.000 0.000
Pr 0.500 0.500 0.000
Zr 0.000 0.500 0.500
U 0.500 0.000 0.500
As 0.238 0.000 0.726
As 0.251 0.500 0.270

No. 4
A plane-wave DFT calculation with PBE was carried out for a relaxed B5C7 crystal.

Computed properties:
Mass density (g/cm³): 2.9
Calculated formation energy (eV/atom): 0.356
Calculated volume (Å³/cell): 78
DFT total energy (eV per formula unit): -93.684

a = 2.5846 Å, b = 2.5846 Å, c = 13.5196 Å
α = 90.00°, β = 90.00°, γ = 120.00°
Space group P3m1 (No. 156)
Inequivalent atoms, fractional coordinates:
B 0.0000 0.0000 0.0000
B 0.0000 0.0000 0.3997
B 0.3333 0.6667 0.1655
B 0.3333 0.6667 0.6828
B 0.6667 0.3333 0.2438
C 0.0000 0.0000 0.5275
C 0.0000 0.0000 0.8803
C 0.3333 0.6667 0.0519
C 0.3333 0.6667 0.5573
C 0.6667 0.3333 0.3575
C 0.6667 0.3333 0.7282
C 0.6667 0.3333 0.8413

No. 5
A plane-wave DFT calculation with PBE was carried out for a relaxed Be2CoPdS crystal.

Computed properties:
Mass density (g/cm³): 5.5
Calculated volume (Å³/cell): 65
DFT total energy (eV per formula unit): -22.164

a = 4.011 Å, b = 4.011 Å, c = 4.025 Å
α = 90.00°, β = 90.00°, γ = 90.00°
Space group P4/mmm (No. 123)
Inequivalent atoms, fractional coordinates:
Be 0.000 0.500 0.000
Co 0.000 0.000 0.500
Pd 0.500 0.500 0.500
S 0.000 0.000 0.000

No. 6
A plane-wave DFT calculation with PBE was carried out for a relaxed TbCeNi10 crystal.

Computed properties:
Mass density (g/cm³): 9.0
Calculated formation energy (eV/atom): -0.336
Calculated volume (Å³/cell): 164
DFT total energy (eV per formula unit): -72.409

a = 3.979 Å, b = 4.889 Å, c = 8.448 Å
α = 90.00°, β = 90.00°, γ = 90.00°
Space group Pmmm (No. 47)
Inequivalent atoms, fractional coordinates:
Tb 0.000 0.000 0.000
Ce 0.000 0.500 0.500
Ni 0.000 0.000 0.336
Ni 0.000 0.500 0.170
Ni 0.500 0.000 0.500
Ni 0.500 0.249 0.249
Ni 0.500 0.500 0.000

No. 7
A plane-wave DFT calculation with PBE was carried out for a relaxed LiYTl crystal.

Computed properties:
Mass density (g/cm³): 6.7
Calculated formation energy (eV/atom): -0.284
Calculated volume (Å³/cell): 149
DFT total energy (eV per formula unit): -11.597

a = 5.1228 Å, b = 5.1228 Å, c = 6.5429 Å
α = 90.00°, β = 90.00°, γ = 120.00°
Space group P3m1 (No. 156)
Inequivalent atoms, fractional coordinates:
Li 0.0000 0.0000 0.0000
Li 0.3333 0.6667 0.1710
Y 0.0000 0.0000 0.4809
Y 0.6667 0.3333 0.8243
Tl 0.3333 0.6667 0.6965
Tl 0.6667 0.3333 0.2917

No. 8
A plane-wave DFT calculation with PBE was carried out for a relaxed Sr2Ag3Cl8 crystal.

Computed properties:
Mass density (g/cm³): 3.5
Calculated volume (Å³/cell): 750
DFT total energy (eV per formula unit): -43.907

a = 14.129 Å, b = 7.693 Å, c = 7.160 Å
α = 90.00°, β = 105.58°, γ = 90.00°
Space group C2/m (No. 12)
Inequivalent atoms, fractional coordinates:
Sr 0.237 0.000 0.174
Ag 0.000 0.248 0.500
Ag 0.000 0.500 0.000
Cl 0.114 0.500 0.443
Cl 0.116 0.000 0.447
Cl 0.119 0.263 0.923

No. 9
A plane-wave DFT calculation with PBE was carried out for a relaxed Dy2NiBi crystal.

Computed properties:
Mass density (g/cm³): 9.8
Calculated formation energy (eV/atom): -0.568
Calculated volume (Å³/cell): 200
DFT total energy (eV per formula unit): -21.139

a = 6.197 Å, b = 4.108 Å, c = 8.371 Å
α = 90.00°, β = 109.98°, γ = 90.00°
Space group P2_1/m (No. 11)
Inequivalent atoms, fractional coordinates:
Dy 0.166 0.250 0.393
Dy 0.244 0.750 0.047
Ni 0.119 0.250 0.796
Bi 0.378 0.750 0.708

No. 10
A plane-wave DFT calculation with PBE was carried out for a relaxed SrH4Pd crystal.

Computed properties:
Mass density (g/cm³): 4.5
Calculated volume (Å³/cell): 147
DFT total energy (eV per formula unit): -22.655

a = 8.150 Å, b = 5.017 Å, c = 4.158 Å
α = 90.00°, β = 120.46°, γ = 90.00°
Space group C2/m (No. 12)
Inequivalent atoms, fractional coordinates:
Sr 0.000 0.000 0.000
H 0.162 0.261 0.663
Pd 0.000 0.500 0.500

No. 11
A plane-wave DFT calculation with PBE was carried out for a relaxed Li7B8C8 crystal.

Computed properties:
Mass density (g/cm³): 2.1
Calculated formation energy (eV/atom): -0.309
Calculated volume (Å³/cell): 186
DFT total energy (eV per formula unit): -147.721

a = 7.169 Å, b = 2.738 Å, c = 9.456 Å
α = 90.00°, β = 90.34°, γ = 90.00°
Space group P2/m (No. 10)
Inequivalent atoms, fractional coordinates:
Li 0.000 0.000 0.000
Li 0.000 0.000 0.500
Li 0.006 0.500 0.250
Li 0.496 0.500 0.728
Li 0.500 0.000 0.000
B 0.239 0.000 0.666
B 0.250 0.500 0.420
B 0.250 0.500 0.917
B 0.254 0.000 0.169
C 0.235 0.500 0.585
C 0.247 0.000 0.834
C 0.250 0.000 0.335
C 0.253 0.500 0.084

No. 12
A plane-wave DFT calculation with PBE was carried out for a relaxed HfTaWBr2 crystal.

Computed properties:
Mass density (g/cm³): 8.3
Calculated volume (Å³/cell): 140
DFT total energy (eV per formula unit): -29.615

a = 4.927 Å, b = 4.927 Å, c = 5.769 Å
α = 90.00°, β = 90.00°, γ = 90.00°
Space group P4/mmm (No. 123)
Inequivalent atoms, fractional coordinates:
Hf 0.000 0.000 0.000
Ta 0.000 0.000 0.500
W 0.500 0.500 0.500
Br 0.000 0.500 0.000

No. 13
A plane-wave DFT calculation with PBE was carried out for a relaxed K2RbZnAu crystal.

Computed properties:
Mass density (g/cm³): 3.2
Calculated formation energy (eV/atom): -0.063
Calculated volume (Å³/cell): 220
DFT total energy (eV per formula unit): -8.027

a = 6.502 Å, b = 6.502 Å, c = 5.204 Å
α = 90.00°, β = 90.00°, γ = 90.00°
Space group P4/mmm (No. 123)
Inequivalent atoms, fractional coordinates:
K 0.000 0.500 0.000
Rb 0.000 0.000 0.500
Zn 0.500 0.500 0.500
Au 0.500 0.500 0.000